(1)
Pa2CuTe5 | PBE | optimized geometry

extended XYZ file:
```
16
Lattice="-1.501 5.609 -1.728 -4.589 -2.913 5.154 8.072 5.296 10.181" Properties=species:S:1:pos:R:3 pbc="T T T"
Pa -0.927 5.059 6.610
Pa -3.993 3.047 2.742
Pa 2.908 2.934 6.997
Pa 5.975 4.946 10.865
Cu 3.187 6.734 8.473
Cu -1.205 1.259 5.135
Te 1.518 7.333 11.867
Te -0.471 6.028 9.358
Te -0.183 2.215 7.350
Te -3.125 0.285 3.640
Te -1.355 4.076 3.788
Te 3.337 3.917 9.819
Te 2.165 5.778 6.257
Te 5.107 7.708 9.967
Te 0.464 0.660 1.740
Te 2.453 1.965 4.249
```

Output
As for the volume: 36.40 Å³ per atom. The uncorrected formation energy is -0.483 eV/atom. The density of states at the Fermi level comes out at 8.29 states/eV per cell. The value obtained for the final energy is -5.33 eV per atom.

---

(2)
LiEuErPb | PBE | optimized geometry

extended XYZ file:
```
4
Lattice="-3.357 -1.049 -4.105 -1.361 -5.105 -1.141 -5.019 -1.745 0.991" Properties=species:S:1:pos:R:3 pbc="T T T"
Pb -4.869 -3.949 -2.128
Eu -2.434 -1.975 -1.064
Li 0.000 0.000 0.000
Er -7.303 -5.924 -3.192
```

Output
As for the volume: 27.92 Å³ per atom. The calculation puts the calculated formation energy at -0.28 eV per atom. The density of states at the Fermi level comes out at 9.51 states/eV per cell. The value obtained for the final energy is -5.39 eV per atom.

---

(3)
Ho3Mg2Ru | PBE | optimized geometry

extended XYZ file:
```
12
Lattice="4.986 0.000 0.022 2.493 7.408 0.011 -0.036 0.000 7.946" Properties=species:S:1:pos:R:3 pbc="T T T"
Ho 4.958 2.594 6.312
Ho 2.485 0.000 1.758
Ho 2.486 4.814 1.668
Ho 4.979 2.594 1.679
Ho 2.465 4.814 6.300
Ho 2.465 0.000 6.211
Mg 0.000 0.000 0.000
Mg -0.018 0.000 3.973
Mg 2.475 2.476 3.984
Mg 4.968 4.932 3.995
Ru 2.493 2.371 0.011
Ru 4.986 5.036 0.022
```

Output
As for the volume: 24.46 Å³ per atom. The calculation puts the calculated formation energy at -0.23 eV per atom. The density of states at the Fermi level comes out at 7.05 states/eV per cell. The value obtained for the final energy is -4.60 eV per atom.

---

(4)
ScTl2GaOs | PBE | optimized geometry

extended XYZ file:
```
5
Lattice="-3.412 3.815 0.457 -1.801 -1.106 -4.218 -3.303 -3.225 2.256" Properties=species:S:1:pos:R:3 pbc="T T T"
Sc -4.258 -0.258 -0.753
Tl -1.652 -1.613 1.128
Tl -1.706 1.907 0.228
Os -0.901 -0.553 -2.109
Ga 0.000 0.000 0.000
```

Output
As for the volume: 24.91 Å³ per atom. The calculation puts the calculated formation energy at 0.90 eV per atom. The density of states at the Fermi level comes out at 4.07 states/eV per cell. The value obtained for the final energy is -4.16 eV per atom.

---

(5)
Tb2PmDy4Ho2 | PBE | optimized geometry

extended XYZ file:
```
9
Lattice="3.585 0.000 0.000 -1.792 9.292 -0.509 0.000 -3.659 8.798" Properties=species:S:1:pos:R:3 pbc="T T T"
Tb 1.792 5.319 2.574
Tb 0.000 0.314 5.715
Pm 0.000 0.000 0.000
Dy 1.792 3.409 5.534
Dy 0.000 2.224 2.754
Dy 1.792 -0.876 2.926
Dy 0.000 6.508 5.363
Ho 0.000 2.521 8.451
Ho 1.792 3.112 -0.162
```

Output
As for the volume: 31.82 Å³ per atom. The calculation puts the calculated formation energy at 0.00 eV per atom. The density of states at the Fermi level comes out at 11.78 states/eV per cell. The value obtained for the final energy is -4.62 eV per atom.

---

(6)
Ba2Zn5Ag | PBE | optimized geometry

extended XYZ file:
```
16
Lattice="-3.463 -3.131 0.961 7.732 -4.423 1.633 -0.199 3.005 9.077" Properties=species:S:1:pos:R:3 pbc="T T T"
Ba 1.713 -2.899 8.554
Ba 2.356 -1.650 3.117
Ba 0.000 0.000 0.000
Ba -0.099 1.502 4.539
Zn 2.054 0.439 8.838
Zn 2.016 -4.989 2.834
Zn 2.109 -0.384 6.350
Zn 1.961 -4.165 5.322
Zn 3.914 -1.121 10.456
Zn 0.156 -3.428 1.215
Zn 4.010 -2.578 6.056
Zn 0.060 -1.972 5.615
Zn -0.692 -0.498 7.707
Zn 4.762 -4.051 3.964
Ag 5.149 -3.034 8.674
Ag -1.079 -1.515 2.997
```

Output
As for the volume: 24.89 Å³ per atom. The calculation puts the calculated formation energy at -0.18 eV per atom. The density of states at the Fermi level comes out at 9.66 states/eV per cell. The value obtained for the final energy is -1.81 eV per atom.

---

(7)
NbMo3S | PBE | optimized geometry

extended XYZ file:
```
5
Lattice="4.782 0.000 0.000 0.000 4.782 0.000 0.000 0.000 4.782" Properties=species:S:1:pos:R:3 pbc="T T T"
S 2.391 2.391 2.391
Mo 0.000 2.391 0.000
Mo 0.000 0.000 2.391
Mo 2.391 0.000 0.000
Nb 0.000 0.000 0.000
```

Output
As for the volume: 21.87 Å³ per atom. As for the polymorph energy (0 for the lowest one): 164.5 kJ/mol of atoms. The uncorrected formation energy is 2.117 eV/atom. The density of states at the Fermi level comes out at 9.75 states/eV per cell. The value obtained for the final energy is -7.22 eV per atom.

---

(8)
CaNd14Sc | PBE | optimized geometry

extended XYZ file:
```
16
Lattice="7.283 0.977 0.000 -0.977 7.283 0.000 0.000 0.000 10.279" Properties=species:S:1:pos:R:3 pbc="T T T"
Ca 2.119 4.919 0.000
Nd 2.121 4.918 5.139
Nd 6.250 1.766 5.139
Nd 5.761 5.407 0.000
Nd 5.763 5.407 5.139
Nd 2.609 1.278 0.000
Nd 2.609 1.276 5.139
Nd 3.734 7.031 7.720
Nd 3.734 7.031 2.559
Nd 0.507 2.805 7.720
Nd 0.507 2.805 2.559
Nd 0.007 6.532 7.720
Nd 0.007 6.532 2.559
Nd 4.234 3.305 7.722
Nd 4.234 3.305 2.557
Sc 6.250 1.765 0.000
```

Output
As for the volume: 34.69 Å³ per atom. The calculation puts the calculated formation energy at 0.04 eV per atom. The density of states at the Fermi level comes out at 21.90 states/eV per cell. The value obtained for the final energy is -4.66 eV per atom.

---

(9)
Nb2ZnCuH | PBE | optimized geometry

extended XYZ file:
```
5
Lattice="-3.266 0.113 2.383 0.274 -3.995 0.564 2.348 0.612 3.189" Properties=species:S:1:pos:R:3 pbc="T T T"
H 0.000 0.000 0.000
Nb 0.137 -1.998 0.282
Nb -1.633 0.056 1.191
Zn 1.174 0.306 1.594
Cu -0.322 -1.636 3.068
```

Output
As for the volume: 13.11 Å³ per atom. As for the polymorph energy (0 for the lowest one): 7.5 kJ/mol of atoms. The density of states at the Fermi level comes out at 1.99 states/eV per cell. The value obtained for the final energy is -5.76 eV per atom.

---

(10)
HoScTl | PBE | optimized geometry

extended XYZ file:
```
3
Lattice="3.634 0.000 0.000 0.000 5.053 0.000 0.000 -2.526 4.376" Properties=species:S:1:pos:R:3 pbc="T T T"
Sc 1.816 2.526 1.459
Tl 1.819 0.000 2.917
Ho 3.634 0.000 0.000
```

Output
As for the volume: 26.79 Å³ per atom. The calculation puts the calculated formation energy at -0.17 eV per atom. As for the polymorph energy (0 for the lowest one): 9.8 kJ/mol of atoms. The density of states at the Fermi level comes out at 2.79 states/eV per cell. The value obtained for the final energy is -4.59 eV per atom.

---

(11)
LaCrCl2 | PBE | optimized geometry

extended XYZ file:
```
8
Lattice="5.237 0.000 0.000 0.000 5.237 0.000 2.619 2.619 6.759" Properties=species:S:1:pos:R:3 pbc="T T T"
Cr 2.619 2.619 0.000
Cr 2.619 5.237 3.380
Cl 3.408 1.309 1.690
Cl 1.829 3.928 1.690
Cl 3.928 4.447 5.069
Cl 6.547 6.027 5.069
La 0.000 0.000 0.000
La 5.237 2.619 3.380
```

Output
As for the volume: 23.17 Å³ per atom. As for the polymorph energy (0 for the lowest one): 50.6 kJ/mol of atoms. The uncorrected formation energy is -0.358 eV/atom. The density of states at the Fermi level comes out at 13.70 states/eV per cell. The value obtained for the final energy is -4.92 eV per atom.

---

(12)
OsW2Au | PBE | optimized geometry

extended XYZ file:
```
4
Lattice="-1.674 0.984 2.033 -1.875 -2.017 -0.568 3.631 -4.884 5.356" Properties=species:S:1:pos:R:3 pbc="T T T"
Au -0.867 -1.737 2.071
Os 0.949 -4.180 4.749
W 3.565 -4.795 5.258
W 1.882 -2.532 2.776
```

Output
As for the volume: 16.02 Å³ per atom. The calculation puts the calculated formation energy at 0.22 eV per atom. As for the polymorph energy (0 for the lowest one): 1.1 kJ/mol of atoms. The density of states at the Fermi level comes out at 2.92 states/eV per cell. The value obtained for the final energy is -9.89 eV per atom.